No. 1
Entry from Alexandria: crystalline CoOsPt at its relaxed geometry (PBE).

Cell lengths 4.0035, 4.0035, 4.0035 Å; angles 60.00, 60.00, 60.00 degrees
Last column: nearest neighbours and their distance in Å.
Sites, in units of the cell vectors:
Co 0.7500 0.7500 0.7500  4 Pt 2.45, 4 Os 2.45
Pt 0.5000 0.5000 0.5000  4 Co 2.45
Os 0.0000 0.0000 0.0000  4 Co 2.45

## Properties
* DFT formation energy: 0.5250 eV/atom
* electronic total energy: -22.80 eV for the cell shown



No. 2
Entry from Alexandria: crystalline TaCoOsPt at its relaxed geometry (PBE).

Cell lengths 3.7954, 3.9804, 3.8145 Å; angles 90.00, 90.00, 90.00 degrees
Last column: nearest neighbours and their distance in Å.
Sites, in units of the cell vectors:
Ta 0.0000 0.0000 0.0000  4 Os 2.69, 4 Co 2.75, 4 Pt 2.76
Os 0.5000 0.0000 0.5000  4 Ta 2.69, 4 Pt 2.75, 4 Co 2.76
Pt 0.0000 0.5000 0.5000  4 Co 2.69, 4 Os 2.75, 4 Ta 2.76
Co 0.5000 0.5000 0.0000  4 Pt 2.69, 4 Ta 2.75, 4 Os 2.76

## Properties
* DFT formation energy: -0.3616 eV/atom
* electronic total energy: -37.68 eV for the cell shown



No. 3
Entry from Alexandria: crystalline CoTeOsPt2 at its relaxed geometry (PBE).

Cell lengths 4.5522, 4.5604, 4.5522 Å; angles 90.00, 90.00, 90.00 degrees
Last column: nearest neighbours and their distance in Å.
Sites, in units of the cell vectors:
Os 0.5000 0.5000 0.5000  4 Te 3.22, 8 Pt 3.22
Pt 0.0000 0.0000 0.5000  2 Co 2.28
Pt 0.5000 0.0000 0.0000  2 Co 2.28
Co 0.0000 0.0000 0.0000  4 Pt 2.28, 2 Te 2.28
Te 0.0000 0.5000 0.0000  2 Co 2.28

## Properties
* ΔE_f (raw): 136.94 kJ/mol of atoms
* electronic total energy: -26.46 eV for the cell shown